Record 1
The following is a GGA-PBE calculation of a geometry-optimized NbTc3W2 structure, from Alexandria.

Computed properties:
E (eV/cell): -67.488
DFT formation energy (meV/atom): -69

Cell lengths 3.148, 3.148, 9.497 Å; angles 90.00, 90.00, 90.00 degrees
Space group P4/mmm (No. 123)
Symmetry-distinct sites (fractional):
Nb1 0.000 0.000 0.000 [1 per cell]
Tc1 0.500 0.500 0.171 [2 per cell]
Tc2 0.500 0.500 0.500 [1 per cell]
W1 0.000 0.000 0.333 [2 per cell]

***

Record 2
The following is a GGA-PBE calculation of a geometry-optimized NbTcW2 structure, from Alexandria.

Computed properties:
E (eV/cell): -172.726
DFT formation energy (meV/atom): 790
Offset from the most stable computed form (meV/atom): 878

Cell lengths 7.280, 7.280, 5.324 Å; angles 90.00, 90.00, 90.00 degrees
Space group I-42d (No. 122)
Symmetry-distinct sites (fractional):
Nb1 0.000 0.000 0.000 [4 per cell]
Tc1 0.000 0.000 0.500 [4 per cell]
W1 0.230 0.250 0.625 [8 per cell]

***

Record 3
The following is a GGA-PBE calculation of a geometry-optimized Nb2TcW2 structure, from Alexandria.

Computed properties:
E (eV/cell): -105.403
DFT formation energy (meV/atom): 742
Offset from the most stable computed form (meV/atom): 927

Cell lengths 7.421, 7.421, 3.180 Å; angles 90.00, 90.00, 90.00 degrees
Space group P4/mbm (No. 127)
Symmetry-distinct sites (fractional):
Nb1 0.146 0.354 0.000 [4 per cell]
Tc1 0.000 0.000 0.000 [2 per cell]
W1 0.157 0.657 0.500 [4 per cell]

***

Record 4
The following is a GGA-PBE calculation of a geometry-optimized Nb3TcW structure, from Alexandria.

Computed properties:
E (eV/cell): -46.136
DFT formation energy (meV/atom): 1478
Offset from the most stable computed form (meV/atom): 1667

Cell lengths 4.721, 4.721, 4.721 Å; angles 90.00, 90.00, 90.00 degrees
Space group Pm-3m (No. 221)
Symmetry-distinct sites (fractional):
Nb1 0.000 0.000 0.500 [3 per cell]
Tc1 0.000 0.000 0.000 [1 per cell]
W1 0.500 0.500 0.500 [1 per cell]

***

Record 5
The following is a GGA-PBE calculation of a geometry-optimized Nb4TcW structure, from Alexandria.

Computed properties:
E (eV/cell): -120.966
DFT formation energy (meV/atom): 519
Offset from the most stable computed form (meV/atom): 689

Cell lengths 6.231, 6.231, 6.268 Å; angles 90.00, 90.07, 90.00 degrees
Space group C2/m (No. 12)
Symmetry-distinct sites (fractional):
Nb1 0.250 0.250 0.248 [8 per cell]
Tc1 0.000 0.000 0.000 [2 per cell]
W1 0.000 0.500 0.500 [2 per cell]

***

Record 6
The following is a GGA-PBE calculation of a geometry-optimized Nb2TcW2 structure, from Alexandria.

Computed properties:
E (eV/cell): -114.668
DFT formation energy (meV/atom): -184
Offset from the most stable computed form (meV/atom): 0

Cell lengths 3.202, 3.202, 16.186 Å; angles 90.00, 90.00, 90.00 degrees
Space group I4/mmm (No. 139)
Symmetry-distinct sites (fractional):
Nb1 0.000 0.000 0.098 [4 per cell]
Tc1 0.000 0.000 0.500 [2 per cell]
W1 0.000 0.000 0.298 [4 per cell]

***

> DFT formation energy of number 6 (Nb2TcW2)?

-184 meV/atom

***

> What is the DFT formation energy in the fourth record?

1478 meV/atom